# CuGePd | the Alexandria database | PBE | relaxed
data_CuGePd
_chemical_formula_sum 'Cu1 Ge1 Pd1'
_space_group_name_H-M_alt 'P 1'
_space_group_IT_number 1
_cell_length_a 4.216
_cell_length_b 4.216
_cell_length_c 2.871
_cell_angle_alpha 90.00
_cell_angle_beta 90.00
_cell_angle_gamma 120.00
loop_
_space_group_symop_operation_xyz
'x,y,z'
loop_
_atom_site_label
_atom_site_fract_x
_atom_site_fract_y
_atom_site_fract_z
_atom_site_occupancy
Cu1 0.000 0.000 0.000 1
Ge1 0.667 0.333 0.249 1
Pd1 0.333 0.667 0.507 1
# volume	14.74	Å³/atom
# electronic total energy	-4.818	eV per atom
# symmetry	No. 156
# magnetization	0.000	μB per atom